Computed, not measured: a geometry-optimized LaH3Pd structure at the PBE-GGA level of DFT.

```
data_LaH3Pd
_chemical_formula_sum 'La1 H3 Pd1'
_symmetry_space_group_name_H-M 'P 1'
_symmetry_Int_Tables_number 1
_cell_length_a 3.237
_cell_length_b 5.467
_cell_length_c 5.467
_cell_angle_alpha 131.59
_cell_angle_beta 90.00
_cell_angle_gamma 90.00
loop_
_symmetry_equiv_pos_as_xyz
'x,y,z'
loop_
_atom_site_label
_atom_site_fract_x
_atom_site_fract_y
_atom_site_fract_z
_atom_site_occupancy
La1 0.500 0.112 0.888 1
H1 0.000 0.254 0.746 1
H2 0.500 0.622 0.792 1
H3 0.500 0.208 0.378 1
Pd1 0.000 0.431 0.569 1
```

Electronic total energy ... -21.00 eV/cell
Total moment ... 0.00 μB per formula unit


Computed, not measured: a geometry-optimized LaH12Pd6 structure at the PBE-GGA level of DFT.

```
data_LaH12Pd6
_chemical_formula_sum 'La1 H12 Pd6'
_symmetry_space_group_name_H-M 'P 1'
_symmetry_Int_Tables_number 1
_cell_length_a 8.075
_cell_length_b 6.014
_cell_length_c 6.014
_cell_angle_alpha 78.49
_cell_angle_beta 63.41
_cell_angle_gamma 116.59
loop_
_symmetry_equiv_pos_as_xyz
'x,y,z'
loop_
_atom_site_label
_atom_site_fract_x
_atom_site_fract_y
_atom_site_fract_z
_atom_site_occupancy
H1 0.413 0.294 0.000 1
H2 0.321 0.442 0.558 1
H3 0.586 0.000 0.295 1
H4 0.878 0.000 0.442 1
H5 0.881 0.295 0.706 1
H6 0.122 0.000 0.558 1
H7 0.414 0.000 0.705 1
H8 0.587 0.706 0.000 1
H9 0.679 0.558 0.442 1
H10 0.119 0.705 0.294 1
H11 0.878 0.558 0.000 1
H12 0.122 0.442 0.000 1
Pd1 0.000 0.354 0.354 1
Pd2 0.354 0.708 0.646 1
Pd3 0.000 0.646 0.646 1
Pd4 0.354 0.354 0.292 1
Pd5 0.646 0.646 0.708 1
Pd6 0.646 0.292 0.354 1
La1 0.000 0.000 0.000 1
```

Electronic total energy ... -77.94 eV/cell
Total moment ... 0.00 μB per formula unit


Computed, not measured: a geometry-optimized LaH6Pd8 structure at the PBE-GGA level of DFT.

```
data_LaH6Pd8
_chemical_formula_sum 'La1 H6 Pd8'
_symmetry_space_group_name_H-M 'P 1'
_symmetry_Int_Tables_number 1
_cell_length_a 5.594
_cell_length_b 5.595
_cell_length_c 5.593
_cell_angle_alpha 95.77
_cell_angle_beta 95.75
_cell_angle_gamma 95.76
loop_
_symmetry_equiv_pos_as_xyz
'x,y,z'
loop_
_atom_site_label
_atom_site_fract_x
_atom_site_fract_y
_atom_site_fract_z
_atom_site_occupancy
Pd1 0.340 0.339 0.340 1
Pd2 0.660 0.661 0.660 1
Pd3 0.115 0.775 0.482 1
Pd4 0.775 0.482 0.115 1
Pd5 0.482 0.115 0.775 1
Pd6 0.225 0.518 0.885 1
Pd7 0.885 0.225 0.518 1
Pd8 0.518 0.885 0.225 1
H1 0.621 0.202 0.255 1
H2 0.379 0.798 0.745 1
H3 0.798 0.745 0.380 1
H4 0.202 0.255 0.620 1
H5 0.744 0.380 0.798 1
H6 0.256 0.620 0.202 1
La1 0.000 0.000 0.000 1
```

Electronic total energy ... -70.89 eV/cell
Total moment ... 0.00 μB per formula unit


Computed, not measured: a geometry-optimized LaH4Pd5 structure at the PBE-GGA level of DFT.

```
data_LaH4Pd5
_chemical_formula_sum 'La2 H8 Pd10'
_symmetry_space_group_name_H-M 'P 1'
_symmetry_Int_Tables_number 1
_cell_length_a 4.884
_cell_length_b 5.902
_cell_length_c 8.459
_cell_angle_alpha 90.00
_cell_angle_beta 90.00
_cell_angle_gamma 90.00
loop_
_symmetry_equiv_pos_as_xyz
'x,y,z'
loop_
_atom_site_label
_atom_site_fract_x
_atom_site_fract_y
_atom_site_fract_z
_atom_site_occupancy
Pd1 0.755 0.753 0.671 1
Pd2 0.237 0.000 0.500 1
Pd3 0.245 0.253 0.829 1
Pd4 0.755 0.753 0.329 1
Pd5 0.763 0.500 0.000 1
Pd6 0.245 0.253 0.171 1
Pd7 0.755 0.247 0.671 1
Pd8 0.755 0.247 0.329 1
Pd9 0.245 0.747 0.171 1
Pd10 0.245 0.747 0.829 1
H1 0.892 0.500 0.218 1
H2 0.438 0.679 0.000 1
H3 0.562 0.179 0.500 1
H4 0.108 0.000 0.282 1
H5 0.892 0.500 0.782 1
H6 0.562 0.821 0.500 1
H7 0.108 0.000 0.718 1
H8 0.438 0.321 0.000 1
La1 0.772 0.000 0.000 1
La2 0.228 0.500 0.500 1
```

Electronic total energy ... -95.55 eV/cell
Total moment ... 0.00 μB per formula unit


Computed, not measured: a geometry-optimized LaH2Pd2 structure at the PBE-GGA level of DFT.

```
data_LaH2Pd2
_chemical_formula_sum 'La2 H4 Pd4'
_symmetry_space_group_name_H-M 'P 1'
_symmetry_Int_Tables_number 1
_cell_length_a 6.477
_cell_length_b 6.477
_cell_length_c 3.663
_cell_angle_alpha 90.00
_cell_angle_beta 90.00
_cell_angle_gamma 90.00
loop_
_symmetry_equiv_pos_as_xyz
'x,y,z'
loop_
_atom_site_label
_atom_site_fract_x
_atom_site_fract_y
_atom_site_fract_z
_atom_site_occupancy
Pd1 0.851 0.351 0.500 1
Pd2 0.351 0.149 0.500 1
Pd3 0.149 0.649 0.500 1
Pd4 0.649 0.851 0.500 1
La1 0.000 0.000 0.000 1
La2 0.500 0.500 0.000 1
H1 0.150 0.650 0.000 1
H2 0.850 0.350 0.000 1
H3 0.350 0.150 0.000 1
H4 0.650 0.850 0.000 1
```

ΔE to the lowest computed polymorph ... 135 meV/atom
Total moment ... 0.00 μB per formula unit


Computed, not measured: a geometry-optimized LaH3Pd structure at the PBE-GGA level of DFT.

```
data_LaH3Pd
_chemical_formula_sum 'La4 H12 Pd4'
_symmetry_space_group_name_H-M 'P 1'
_symmetry_Int_Tables_number 1
_cell_length_a 20.275
_cell_length_b 4.383
_cell_length_c 6.675
_cell_angle_alpha 90.00
_cell_angle_beta 155.57
_cell_angle_gamma 90.00
loop_
_symmetry_equiv_pos_as_xyz
'x,y,z'
loop_
_atom_site_label
_atom_site_fract_x
_atom_site_fract_y
_atom_site_fract_z
_atom_site_occupancy
H1 0.123 0.696 0.863 1
H2 0.377 0.196 0.637 1
H3 0.855 0.430 0.560 1
H4 0.145 0.570 0.440 1
H5 0.384 0.549 0.481 1
H6 0.645 0.930 0.940 1
H7 0.623 0.804 0.363 1
H8 0.355 0.070 0.060 1
H9 0.884 0.951 0.981 1
H10 0.877 0.304 0.137 1
H11 0.116 0.049 0.019 1
H12 0.616 0.451 0.519 1
Pd1 0.957 0.725 0.005 1
Pd2 0.543 0.225 0.495 1
Pd3 0.043 0.275 0.995 1
Pd4 0.457 0.775 0.505 1
La1 0.843 0.774 0.220 1
La2 0.657 0.274 0.280 1
La3 0.157 0.226 0.780 1
La4 0.343 0.726 0.720 1
```

Electronic total energy ... -91.05 eV/cell
Total moment ... 0.00 μB per formula unit


Computed, not measured: a geometry-optimized La2H2Pd structure at the PBE-GGA level of DFT.

```
data_La2H2Pd
_chemical_formula_sum 'La4 H4 Pd2'
_symmetry_space_group_name_H-M 'P 1'
_symmetry_Int_Tables_number 1
_cell_length_a 7.173
_cell_length_b 7.173
_cell_length_c 3.339
_cell_angle_alpha 90.00
_cell_angle_beta 90.00
_cell_angle_gamma 90.00
loop_
_symmetry_equiv_pos_as_xyz
'x,y,z'
loop_
_atom_site_label
_atom_site_fract_x
_atom_site_fract_y
_atom_site_fract_z
_atom_site_occupancy
H1 0.617 0.117 0.000 1
H2 0.117 0.383 0.000 1
H3 0.383 0.883 0.000 1
H4 0.883 0.617 0.000 1
La1 0.176 0.676 0.500 1
La2 0.676 0.824 0.500 1
La3 0.324 0.176 0.500 1
La4 0.824 0.324 0.500 1
Pd1 0.000 0.000 0.000 1
Pd2 0.500 0.500 0.000 1
```

ΔE to the lowest computed polymorph ... 222 meV/atom
Total moment ... 0.00 μB per formula unit


Computed, not measured: a geometry-optimized LaH3Pd structure at the PBE-GGA level of DFT.

```
data_LaH3Pd
_chemical_formula_sum 'La4 H12 Pd4'
_symmetry_space_group_name_H-M 'P 1'
_symmetry_Int_Tables_number 1
_cell_length_a 15.826
_cell_length_b 6.596
_cell_length_c 6.596
_cell_angle_alpha 102.39
_cell_angle_beta 136.14
_cell_angle_gamma 43.86
loop_
_symmetry_equiv_pos_as_xyz
'x,y,z'
loop_
_atom_site_label
_atom_site_fract_x
_atom_site_fract_y
_atom_site_fract_z
_atom_site_occupancy
La1 0.241 0.920 0.845 1
La2 0.741 0.655 0.580 1
La3 0.759 0.080 0.155 1
La4 0.259 0.345 0.420 1
H1 0.634 0.415 0.317 1
H2 0.603 0.669 0.034 1
H3 0.449 0.284 0.456 1
H4 0.397 0.331 0.966 1
H5 0.949 0.044 0.216 1
H6 0.134 0.183 0.085 1
H7 0.051 0.956 0.784 1
H8 0.103 0.466 0.831 1
H9 0.366 0.585 0.683 1
H10 0.551 0.716 0.544 1
H11 0.897 0.534 0.169 1
H12 0.866 0.817 0.915 1
Pd1 0.250 0.779 0.279 1
Pd2 0.250 0.436 0.936 1
Pd3 0.750 0.221 0.721 1
Pd4 0.750 0.564 0.064 1
```

Electronic total energy ... -90.87 eV/cell
Total moment ... 0.00 μB per formula unit


Computed, not measured: a geometry-optimized La4HPd2 structure at the PBE-GGA level of DFT.

```
data_La4HPd2
_chemical_formula_sum 'La4 H1 Pd2'
_symmetry_space_group_name_H-M 'P 1'
_symmetry_Int_Tables_number 1
_cell_length_a 4.801
_cell_length_b 4.801
_cell_length_c 8.548
_cell_angle_alpha 73.69
_cell_angle_beta 73.69
_cell_angle_gamma 90.00
loop_
_symmetry_equiv_pos_as_xyz
'x,y,z'
loop_
_atom_site_label
_atom_site_fract_x
_atom_site_fract_y
_atom_site_fract_z
_atom_site_occupancy
H1 0.000 0.000 0.000 1
Pd1 0.636 0.636 0.728 1
Pd2 0.364 0.364 0.272 1
La1 0.500 0.000 0.000 1
La2 0.811 0.811 0.379 1
La3 0.189 0.189 0.621 1
La4 0.000 0.500 0.000 1
```

Electronic total energy ... -36.88 eV/cell
Total moment ... 0.00 μB per formula unit


Computed, not measured: a geometry-optimized LaH3Pd structure at the PBE-GGA level of DFT.

```
data_LaH3Pd
_chemical_formula_sum 'La2 H6 Pd2'
_symmetry_space_group_name_H-M 'P 1'
_symmetry_Int_Tables_number 1
_cell_length_a 6.437
_cell_length_b 5.023
_cell_length_c 3.949
_cell_angle_alpha 89.98
_cell_angle_beta 107.88
_cell_angle_gamma 86.33
loop_
_symmetry_equiv_pos_as_xyz
'x,y,z'
loop_
_atom_site_label
_atom_site_fract_x
_atom_site_fract_y
_atom_site_fract_z
_atom_site_occupancy
H1 0.837 0.053 0.918 1
H2 0.601 0.813 0.300 1
H3 0.067 0.518 0.533 1
H4 0.832 0.549 0.915 1
H5 0.070 0.017 0.534 1
H6 0.450 0.522 0.724 1
Pd1 0.279 0.254 0.638 1
Pd2 0.613 0.815 0.806 1
La1 0.176 0.770 0.087 1
La2 0.727 0.295 0.363 1
```

Electronic total energy ... -45.82 eV/cell
Total moment ... 0.00 μB per formula unit